Below is a relaxed CoW crystal, with properties calculated at the PBE level.

The structure in POSCAR format:
```
CoW
1.0
5.117 0.000 0.000
-2.558 4.431 0.000
0.000 0.000 15.241
Co W
12 12
Direct
0.000 0.000 0.085
0.000 0.000 0.415
0.000 0.000 0.585
0.000 0.000 0.915
0.333 0.667 0.126
0.333 0.667 0.374
0.333 0.667 0.664
0.333 0.667 0.836
0.667 0.333 0.164
0.667 0.333 0.336
0.667 0.333 0.626
0.667 0.333 0.874
0.000 0.500 0.000
0.000 0.500 0.500
0.163 0.325 0.250
0.163 0.837 0.250
0.325 0.163 0.750
0.500 0.000 0.000
0.500 0.000 0.500
0.500 0.500 0.000
0.500 0.500 0.500
0.675 0.837 0.250
0.837 0.163 0.750
0.837 0.675 0.750
```

Properties
ΔE_f	59.1	kJ/mol of atoms
calculated total energy	-0.692	Ry/atom
V	14.40	A^3/atom
spin magnetization	0.015	μB per formula unit
SG	P6_3/mmc, No. 194

Below is a relaxed HgO4 crystal, with properties calculated at the PBE level.

The structure in POSCAR format:
```
HgO4
1.0
5.012 0.000 0.000
0.000 5.598 0.000
-3.406 0.000 4.929
Hg O
2 8
Direct
0.000 0.114 0.250
0.000 0.886 0.750
0.309 0.409 0.044
0.309 0.591 0.544
0.393 0.291 0.916
0.393 0.709 0.416
0.607 0.291 0.584
0.607 0.709 0.084
0.691 0.409 0.456
0.691 0.591 0.956
```

Properties
calculated total energy	-0.281	Ry/atom
V	13.83	A^3/atom
SG	P2/c, No. 13

Below is a relaxed ZrAgSn2 crystal, with properties calculated at the PBE level.

The structure in POSCAR format:
```
ZrAgSn2
1.0
7.170 0.000 0.000
0.000 7.170 0.000
0.000 0.000 7.170
Zr Ag Sn
4 4 8
Direct
0.000 0.000 0.000
0.000 0.500 0.500
0.500 0.000 0.500
0.500 0.500 0.000
0.250 0.250 0.250
0.250 0.750 0.750
0.750 0.250 0.750
0.750 0.750 0.250
0.000 0.000 0.500
0.000 0.500 0.000
0.250 0.250 0.750
0.250 0.750 0.250
0.500 0.000 0.000
0.500 0.500 0.500
0.750 0.250 0.250
0.750 0.750 0.750
```

Properties
calculated total energy	-0.347	Ry/atom
V	23.04	A^3/atom
spin magnetization	0.080	μB per formula unit
SG	F-43m, No. 216

Below is a relaxed NaPrB crystal, with properties calculated at the PBE level.

The structure in POSCAR format:
```
NaPrB
1.0
6.518 0.000 0.000
0.000 6.518 0.000
0.000 0.000 6.518
Na Pr B
4 4 4
Direct
0.000 0.000 0.000
0.000 0.500 0.500
0.500 0.000 0.500
0.500 0.500 0.000
0.250 0.250 0.750
0.250 0.750 0.250
0.750 0.250 0.250
0.750 0.750 0.750
0.000 0.000 0.500
0.000 0.500 0.000
0.500 0.000 0.000
0.500 0.500 0.500
```

Properties
calculated total energy	-0.238	Ry/atom
V	23.08	A^3/atom
spin magnetization	0.002	μB per formula unit
SG	F-43m, No. 216

Below is a relaxed TbTmSn4 crystal, with properties calculated at the PBE level.

The structure in POSCAR format:
```
TbTmSn4
1.0
4.341 0.000 0.000
0.000 4.424 0.000
0.000 0.000 16.293
Tb Tm Sn
2 2 8
Direct
0.000 0.000 0.000
0.000 0.500 0.500
0.500 0.000 0.197
0.500 0.500 0.697
0.000 0.000 0.349
0.000 0.000 0.663
0.000 0.500 0.163
0.000 0.500 0.849
0.500 0.000 0.535
0.500 0.000 0.846
0.500 0.500 0.035
0.500 0.500 0.346
```

Properties
calculated total energy	-0.350	Ry/atom
V	26.07	A^3/atom
spin magnetization	0.005	μB per formula unit
SG	Amm2, No. 38

Below is a relaxed Be2AsP3Pt2 crystal, with properties calculated at the PBE level.

The structure in POSCAR format:
```
Be2AsP3Pt2
1.0
11.206 0.000 0.000
0.000 5.036 0.000
-2.829 0.000 4.872
Be As P Pt
4 2 6 4
Direct
0.115 0.000 0.354
0.385 0.500 0.646
0.615 0.500 0.354
0.885 0.000 0.646
0.000 0.738 0.500
0.500 0.238 0.500
0.000 0.244 0.000
0.247 0.733 0.302
0.253 0.233 0.698
0.500 0.744 0.000
0.747 0.233 0.302
0.753 0.733 0.698
0.154 0.473 0.911
0.346 0.973 0.089
0.654 0.973 0.911
0.846 0.473 0.089
```

Properties
calculated total energy	-0.383	Ry/atom
V	17.19	A^3/atom
spin magnetization	0.009	μB per formula unit
SG	C2, No. 5

Below is a relaxed Hf4Bi3W2N3 crystal, with properties calculated at the PBE level.

The structure in POSCAR format:
```
Hf4Bi3W2N3
1.0
5.205 -2.969 0.000
5.205 2.969 0.000
-3.388 0.000 13.563
Hf Bi W N
8 6 4 6
Direct
0.008 0.209 0.079
0.162 0.300 0.421
0.209 0.008 0.579
0.300 0.162 0.921
0.700 0.838 0.079
0.791 0.992 0.421
0.838 0.700 0.579
0.992 0.791 0.921
0.091 0.909 0.250
0.254 0.416 0.747
0.416 0.254 0.247
0.584 0.746 0.753
0.746 0.584 0.253
0.909 0.091 0.750
0.389 0.532 0.072
0.468 0.611 0.428
0.532 0.389 0.572
0.611 0.468 0.928
0.000 0.500 0.000
0.145 0.673 0.501
0.327 0.855 0.999
0.500 0.000 0.500
0.673 0.145 0.001
0.855 0.327 0.499
```

Properties
calculated total energy	-0.657	Ry/atom
V	17.47	A^3/atom
spin magnetization	0.002	μB per formula unit
SG	C2/c, No. 15

Below is a relaxed TaFeSn2 crystal, with properties calculated at the PBE level.

The structure in POSCAR format:
```
TaFeSn2
1.0
6.760 0.000 0.000
0.000 6.760 0.000
0.000 0.000 6.760
Ta Fe Sn
4 4 8
Direct
0.000 0.000 0.000
0.000 0.500 0.500
0.500 0.000 0.500
0.500 0.500 0.000
0.250 0.250 0.250
0.250 0.750 0.750
0.750 0.250 0.750
0.750 0.750 0.250
0.000 0.000 0.500
0.000 0.500 0.000
0.250 0.250 0.750
0.250 0.750 0.250
0.500 0.000 0.000
0.500 0.500 0.500
0.750 0.250 0.250
0.750 0.750 0.750
```

Properties
calculated total energy	-0.475	Ry/atom
V	19.31	A^3/atom
spin magnetization	1.233	μB per formula unit
SG	F-43m, No. 216

Below is a relaxed GdDy2Zn3Ir2Pt crystal, with properties calculated at the PBE level.

The structure in POSCAR format:
```
GdDy2Zn3Ir2Pt
1.0
3.897 0.000 0.000
0.000 6.245 3.593
0.000 -6.245 3.593
Gd Dy Zn Ir Pt
1 2 3 2 1
Direct
0.000 0.000 0.000
0.000 0.184 0.591
0.000 0.591 0.184
0.500 0.338 0.338
0.500 0.591 0.844
0.500 0.844 0.591
0.500 0.260 0.924
0.500 0.924 0.260
0.000 0.590 0.590
```

Properties
ΔE_f	-76.0	kJ/mol of atoms
calculated total energy	-0.396	Ry/atom
V	19.43	A^3/atom
spin magnetization	0.002	μB per formula unit
SG	Amm2, No. 38

Below is a relaxed RbLuAs crystal, with properties calculated at the PBE level.

The structure in POSCAR format:
```
RbLuAs
1.0
7.261 0.000 0.000
0.000 7.261 0.000
0.000 0.000 7.261
Rb Lu As
4 4 4
Direct
0.000 0.000 0.000
0.000 0.500 0.500
0.500 0.000 0.500
0.500 0.500 0.000
0.000 0.000 0.500
0.000 0.500 0.000
0.500 0.000 0.000
0.500 0.500 0.500
0.250 0.250 0.750
0.250 0.750 0.250
0.750 0.250 0.250
0.750 0.750 0.750
```

Properties
calculated total energy	-0.255	Ry/atom
V	31.90	A^3/atom
spin magnetization	0.011	μB per formula unit
SG	F-43m, No. 216

Below is a relaxed Na2DyHoO4 crystal, with properties calculated at the PBE level.

The structure in POSCAR format:
```
Na2DyHoO4
1.0
4.582 0.000 0.000
0.000 4.582 0.000
0.000 0.000 10.243
Na Dy Ho O
4 2 2 8
Direct
0.000 0.000 0.000
0.000 0.500 0.250
0.500 0.000 0.750
0.500 0.500 0.500
0.000 0.500 0.750
0.500 0.000 0.250
0.000 0.000 0.500
0.500 0.500 0.000
0.000 0.000 0.279
0.000 0.000 0.721
0.000 0.500 0.526
0.000 0.500 0.974
0.500 0.000 0.026
0.500 0.000 0.474
0.500 0.500 0.221
0.500 0.500 0.779
```

Properties
calculated total energy	-0.497	Ry/atom
V	13.44	A^3/atom
spin magnetization	0.000	μB per formula unit
SG	I-4m2, No. 119

Below is a relaxed RbOsCl4O crystal, with properties calculated at the PBE level.

The structure in POSCAR format:
```
RbOsCl4O
1.0
13.286 0.000 0.000
0.000 3.729 0.000
-2.532 0.000 7.255
Rb Os Cl O
2 2 8 2
Direct
0.000 0.000 0.000
0.500 0.500 0.000
0.000 0.496 0.500
0.500 0.996 0.500
0.131 0.496 0.356
0.135 0.495 0.792
0.365 0.995 0.208
0.369 0.996 0.644
0.631 0.996 0.356
0.635 0.995 0.792
0.865 0.495 0.208
0.869 0.496 0.644
0.000 0.996 0.500
0.500 0.496 0.500
```

Properties
calculated total energy	-0.331	Ry/atom
V	25.68	A^3/atom
spin magnetization	0.723	μB per formula unit
SG	C2, No. 5

Below is a relaxed HfP crystal, with properties calculated at the PBE level.

The structure in POSCAR format:
```
HfP
1.0
3.662 0.000 0.000
-1.831 3.171 0.000
0.000 0.000 12.407
Hf P
4 4
Direct
0.333 0.667 0.116
0.333 0.667 0.384
0.667 0.333 0.616
0.667 0.333 0.884
0.000 0.000 0.000
0.000 0.000 0.500
0.333 0.667 0.750
0.667 0.333 0.250
```

Properties
calculated total energy	-0.660	Ry/atom
V	18.01	A^3/atom
spin magnetization	0.000	μB per formula unit
SG	P-3m1, No. 164

Below is a relaxed PaGa5Tc crystal, with properties calculated at the PBE level.

The structure in POSCAR format:
```
PaGa5Tc
1.0
4.435 0.000 0.000
0.000 4.435 0.000
0.000 0.000 6.727
Pa Ga Tc
1 5 1
Direct
0.000 0.000 0.000
0.000 0.500 0.305
0.000 0.500 0.695
0.500 0.000 0.305
0.500 0.000 0.695
0.500 0.500 0.000
0.000 0.000 0.500
```

Properties
calculated total energy	-0.391	Ry/atom
V	18.91	A^3/atom
spin magnetization	0.045	μB per formula unit
SG	P4/mmm, No. 123

Below is a relaxed Zr3Ni2Bi4Pd2 crystal, with properties calculated at the PBE level.

The structure in POSCAR format:
```
Zr3Ni2Bi4Pd2
1.0
7.153 0.000 0.000
0.000 4.342 0.000
-0.359 0.000 7.744
Zr Ni Bi Pd
3 2 4 2
Direct
0.000 0.000 0.000
0.047 0.500 0.443
0.547 0.000 0.988
0.102 0.500 0.784
0.914 0.000 0.664
0.285 0.500 0.102
0.289 0.000 0.667
0.720 0.000 0.358
0.728 0.500 0.770
0.305 0.000 0.319
0.796 0.500 0.141
```

Properties
calculated total energy	-0.451	Ry/atom
V	21.86	A^3/atom
spin magnetization	0.020	μB per formula unit
SG	Pm, No. 6

Below is a relaxed YCoSi crystal, with properties calculated at the PBE level.

The structure in POSCAR format:
```
YCoSi
1.0
6.825 0.000 0.000
0.000 4.136 0.000
0.000 0.000 7.099
Y Co Si
4 4 4
Direct
0.010 0.250 0.192
0.490 0.750 0.692
0.510 0.250 0.308
0.990 0.750 0.808
0.150 0.750 0.434
0.350 0.250 0.934
0.650 0.750 0.066
0.850 0.250 0.566
0.196 0.250 0.599
0.304 0.750 0.099
0.696 0.250 0.901
0.804 0.750 0.401
```

Properties
calculated total energy	-0.518	Ry/atom
V	16.70	A^3/atom
spin magnetization	0.000	μB per formula unit
SG	Pnma, No. 62

Below is a relaxed TlCuSiS3 crystal, with properties calculated at the PBE level.

The structure in POSCAR format:
```
TlCuSiS3
1.0
7.956 0.000 0.000
0.000 3.538 0.000
-3.541 0.000 8.655
Tl Cu Si S
2 2 2 6
Direct
0.249 0.250 0.191
0.751 0.750 0.809
0.452 0.250 0.903
0.548 0.750 0.097
0.170 0.750 0.642
0.830 0.250 0.358
0.044 0.750 0.377
0.248 0.750 0.905
0.367 0.250 0.640
0.633 0.750 0.360
0.752 0.250 0.095
0.956 0.250 0.623
```

Properties
calculated total energy	-0.319	Ry/atom
V	20.30	A^3/atom
SG	P2_1/m, No. 11

Below is a relaxed TmSF crystal, with properties calculated at the PBE level.

The structure in POSCAR format:
```
TmSF
1.0
1.978 1.142 8.185
-1.978 1.142 8.185
0.000 -2.284 8.185
Tm S F
2 2 2
Direct
0.000 0.000 0.000
0.500 0.500 0.500
0.109 0.109 0.109
0.891 0.891 0.891
0.333 0.333 0.333
0.667 0.667 0.667
```

Properties
calculated total energy	-0.475	Ry/atom
V	18.49	A^3/atom
spin magnetization	0.000	μB per formula unit
SG	R-3m, No. 166

Below is a relaxed AgS6N crystal, with properties calculated at the PBE level.

The structure in POSCAR format:
```
AgS6N
1.0
0.000 4.095 4.095
4.095 0.000 4.095
4.095 4.095 0.000
Ag S N
1 6 1
Direct
0.000 0.000 0.000
0.015 0.015 0.485
0.015 0.485 0.015
0.015 0.485 0.485
0.485 0.015 0.015
0.485 0.015 0.485
0.485 0.485 0.015
0.750 0.750 0.750
```

Properties
calculated total energy	-0.239	Ry/atom
V	17.16	A^3/atom
SG	F-43m, No. 216

Below is a relaxed TcNiAgBi crystal, with properties calculated at the PBE level.

The structure in POSCAR format:
```
TcNiAgBi
1.0
6.473 0.000 0.000
0.000 6.473 0.000
0.000 0.000 6.473
Tc Ni Ag Bi
4 4 4 4
Direct
0.000 0.000 0.000
0.000 0.500 0.500
0.500 0.000 0.500
0.500 0.500 0.000
0.000 0.000 0.500
0.000 0.500 0.000
0.500 0.000 0.000
0.500 0.500 0.500
0.250 0.250 0.750
0.250 0.750 0.250
0.750 0.250 0.250
0.750 0.750 0.750
0.250 0.250 0.250
0.250 0.750 0.750
0.750 0.250 0.750
0.750 0.750 0.250
```

Properties
calculated total energy	-0.383	Ry/atom
V	16.95	A^3/atom
spin magnetization	0.005	μB per formula unit
SG	F-43m, No. 216

Below is a relaxed SmSiAg crystal, with properties calculated at the PBE level.

The structure in POSCAR format:
```
SmSiAg
1.0
6.587 0.000 0.000
0.000 6.587 0.000
0.000 0.000 6.587
Sm Si Ag
4 4 4
Direct
0.000 0.000 0.000
0.000 0.500 0.500
0.500 0.000 0.500
0.500 0.500 0.000
0.250 0.250 0.750
0.250 0.750 0.250
0.750 0.250 0.250
0.750 0.750 0.750
0.000 0.000 0.500
0.000 0.500 0.000
0.500 0.000 0.000
0.500 0.500 0.500
```

Properties
calculated total energy	-0.347	Ry/atom
V	23.82	A^3/atom
spin magnetization	0.003	μB per formula unit
SG	F-43m, No. 216

Below is a relaxed Ag2SnF6 crystal, with properties calculated at the PBE level.

The structure in POSCAR format:
```
Ag2SnF6
1.0
5.545 0.000 0.000
0.000 5.661 0.000
-4.725 0.000 7.973
Ag Sn F
4 2 12
Direct
0.204 0.054 0.244
0.204 0.446 0.744
0.796 0.554 0.256
0.796 0.946 0.756
0.500 0.000 0.000
0.500 0.500 0.500
0.174 0.196 0.966
0.174 0.304 0.466
0.267 0.712 0.957
0.267 0.788 0.457
0.360 0.022 0.756
0.360 0.478 0.256
0.640 0.522 0.744
0.640 0.978 0.244
0.733 0.212 0.543
0.733 0.288 0.043
0.826 0.696 0.534
0.826 0.804 0.034
```

Properties
calculated total energy	-0.302	Ry/atom
V	13.90	A^3/atom
SG	P2_1/c, No. 14

Below is a relaxed TcAgNO crystal, with properties calculated at the PBE level.

The structure in POSCAR format:
```
TcAgNO
1.0
3.499 0.000 0.000
0.000 3.499 0.000
0.000 0.000 7.467
Tc Ag N O
2 2 2 2
Direct
0.250 0.250 0.156
0.750 0.750 0.844
0.250 0.750 0.500
0.750 0.250 0.500
0.250 0.250 0.742
0.750 0.750 0.258
0.250 0.750 0.000
0.750 0.250 0.000
```

Properties
calculated total energy	-0.428	Ry/atom
V	11.43	A^3/atom
spin magnetization	0.038	μB per formula unit
SG	P4/nmm, No. 129